First-principles (PBE-GGA) data for a relaxed structure of CoPb2Cl, as listed in Alexandria via LeMat-Bulk.

a = 7.6037 Å, b = 7.6037 Å, c = 7.6037 Å
α = 129.91°, β = 129.91°, γ = 73.54°
Last column: nearest neighbours and their distance in Å.
Sites, in units of the cell vectors:
Co: 0.0000 0.0000 0.0000  4 Pb 2.48
Co: 0.7500 0.2500 0.5000  4 Pb 2.48
Pb: 0.0480 0.6250 0.9230  2 Co 2.48
Pb: 0.3750 0.2980 0.4230  2 Co 2.48
Pb: 0.7020 0.1250 0.0770  2 Co 2.48
Pb: 0.8750 0.9520 0.5770  2 Co 2.48
Cl: 0.2500 0.7500 0.5000  4 Pb 3.06
Cl: 0.5000 0.5000 0.0000  4 Pb 3.06

**Size of the total moment**: 0.0 μB per formula unit
**Polymorph energy (0 for the lowest one)**: 0.80 eV/f.u.
**Energy relative to the elements, uncorrected**: 0.183 eV per atom